DFT (PBE) results for a relaxed structure of Sm4N2O3.

Summary:
**Total energy**: -8.007 eV/atom
**Total moment**: 0.0 μB/f.u.
**Crystal system**: monoclinic
**Formation energy from raw total energies**: -2.407 eV per atom
**Space-group type**: C2/m (12)

Cell: 6.120 6.120 9.078 Å, 121.77 121.77 33.68°
Sites, in units of the cell vectors:
Sm1 0.081 0.081 0.383
Sm2 0.254 0.254 0.164
Sm3 0.746 0.746 0.836
Sm4 0.919 0.919 0.617
N1 0.134 0.134 0.861
N2 0.866 0.866 0.139
O1 0.311 0.311 0.674
O2 0.500 0.500 0.500
O3 0.689 0.689 0.326

***

DFT (PBE) results for a relaxed structure of Sm4N3O.

Summary:
**Total energy**: -7.993 eV/atom
**Total moment**: 0.0 μB/f.u.
**Energy above the most stable polymorph in this dataset**: 0.000 eV per atom
**Crystal system**: orthorhombic
**Formation energy from raw total energies**: -1.891 eV per atom
**Space-group type**: Cmmm (65)

Cell: 6.174 6.174 3.566 Å, 90.00 90.00 109.37°
Sites, in units of the cell vectors:
Sm1 0.245 0.245 0.500
Sm2 0.248 0.752 0.000
Sm3 0.752 0.248 0.000
Sm4 0.755 0.755 0.500
N1 0.000 0.000 0.000
N2 0.000 0.500 0.500
N3 0.500 0.000 0.500
O1 0.500 0.500 0.000

***

DFT (PBE) results for a relaxed structure of Sm3NO2.

Summary:
**Total energy**: -7.808 eV/atom
**Total moment**: 0.0 μB/f.u.
**Crystal system**: orthorhombic
**Formation energy from raw total energies**: -2.408 eV per atom
**Space-group type**: Pnma (62)

Cell: 7.071 4.986 10.623 Å, 90.00 90.00 90.00°
Sites, in units of the cell vectors:
Sm1 0.122 0.250 0.081
Sm2 0.125 0.250 0.751
Sm3 0.129 0.250 0.419
Sm4 0.371 0.750 0.919
Sm5 0.375 0.750 0.251
Sm6 0.378 0.750 0.581
Sm7 0.622 0.250 0.419
Sm8 0.625 0.250 0.749
Sm9 0.629 0.250 0.081
Sm10 0.871 0.750 0.581
Sm11 0.875 0.750 0.249
Sm12 0.878 0.750 0.919
N1 0.127 0.750 0.082
N2 0.373 0.250 0.582
N3 0.627 0.750 0.418
N4 0.873 0.250 0.918
O1 0.124 0.750 0.416
O2 0.125 0.750 0.752
O3 0.375 0.250 0.252
O4 0.376 0.250 0.916
O5 0.624 0.750 0.084
O6 0.625 0.750 0.748
O7 0.875 0.250 0.248
O8 0.876 0.250 0.584

***

DFT (PBE) results for a relaxed structure of Sm2NO.

Summary:
**Total energy**: -7.910 eV/atom
**Total moment**: 0.0 μB/f.u.
**Energy above the most stable polymorph in this dataset**: 0.000 eV per atom
**Crystal system**: trigonal
**Formation energy from raw total energies**: -2.230 eV per atom
**Space-group type**: R-3m (166)

Cell: 6.182 6.182 6.182 Å, 33.25 33.25 33.25°
Sites, in units of the cell vectors:
Sm1 0.247 0.247 0.247
Sm2 0.753 0.753 0.753
N1 0.500 0.500 0.500
O1 0.000 0.000 0.000

***

DFT (PBE) results for a relaxed structure of Sm2NO.

Summary:
**Total energy**: -7.906 eV/atom
**Total moment**: 0.0 μB/f.u.
**Energy above the most stable polymorph in this dataset**: 0.004 eV per atom
**Crystal system**: monoclinic
**Formation energy from raw total energies**: -2.226 eV per atom
**Space-group type**: C2/c (15)

Cell: 7.941 7.941 6.139 Å, 104.90 104.90 127.01°
Sites, in units of the cell vectors:
Sm1 0.058 0.433 0.742
Sm2 0.178 0.303 0.242
Sm3 0.303 0.178 0.742
Sm4 0.433 0.058 0.242
Sm5 0.567 0.942 0.758
Sm6 0.697 0.822 0.258
Sm7 0.822 0.697 0.758
Sm8 0.942 0.567 0.258
N1 0.061 0.939 0.250
N2 0.186 0.814 0.750
N3 0.814 0.186 0.250
N4 0.939 0.061 0.750
O1 0.310 0.690 0.250
O2 0.435 0.565 0.750
O3 0.565 0.435 0.250
O4 0.690 0.310 0.750

***

DFT (PBE) results for a relaxed structure of Sm4NO3.

Summary:
**Total energy**: -7.747 eV/atom
**Total moment**: 0.0 μB/f.u.
**Energy above the most stable polymorph in this dataset**: 0.010 eV per atom
**Crystal system**: cubic
**Formation energy from raw total energies**: -2.488 eV per atom
**Space-group type**: Pm-3m (221)

Cell: 4.989 4.989 4.989 Å, 90.00 90.00 90.00°
Sites, in units of the cell vectors:
Sm1 0.000 0.000 0.000
Sm2 0.000 0.500 0.500
Sm3 0.500 0.000 0.500
Sm4 0.500 0.500 0.000
N1 0.500 0.500 0.500
O1 0.000 0.000 0.500
O2 0.000 0.500 0.000
O3 0.500 0.000 0.000

***

DFT (PBE) results for a relaxed structure of Sm4N3O.

Summary:
**Total energy**: -7.968 eV/atom
**Total moment**: 0.0 μB/f.u.
**Energy above the most stable polymorph in this dataset**: 0.024 eV per atom
**Crystal system**: cubic
**Formation energy from raw total energies**: -1.867 eV per atom
**Space-group type**: Pm-3m (221)

Cell: 5.043 5.043 5.043 Å, 90.00 90.00 90.00°
Sites, in units of the cell vectors:
Sm1 0.000 0.000 0.000
Sm2 0.000 0.500 0.500
Sm3 0.500 0.000 0.500
Sm4 0.500 0.500 0.000
N1 0.000 0.000 0.500
N2 0.000 0.500 0.000
N3 0.500 0.000 0.000
O1 0.500 0.500 0.500

***

DFT (PBE) results for a relaxed structure of Sm4NO3.

Summary:
**Total energy**: -7.758 eV/atom
**Total moment**: 0.0 μB/f.u.
**Energy above the most stable polymorph in this dataset**: 0.000 eV per atom
**Crystal system**: tetragonal
**Formation energy from raw total energies**: -2.498 eV per atom
**Space-group type**: I4/mmm (139)

Cell: 6.118 6.118 6.118 Å, 131.91 131.91 70.37°
Sites, in units of the cell vectors:
Sm1 0.000 0.500 0.500
Sm2 0.245 0.245 0.000
Sm3 0.500 0.000 0.500
Sm4 0.755 0.755 0.000
N1 0.000 0.000 0.000
O1 0.250 0.750 0.500
O2 0.500 0.500 0.000
O3 0.750 0.250 0.500

***

DFT (PBE) results for a relaxed structure of Sm6N5O.

Summary:
**Total energy**: -8.009 eV/atom
**Total moment**: 0.0 μB/f.u.
**Crystal system**: monoclinic
**Formation energy from raw total energies**: -1.767 eV per atom
**Space-group type**: C2/m (12)

Cell: 6.190 6.190 6.190 Å, 99.62 99.62 119.98°
Sites, in units of the cell vectors:
Sm1 0.078 0.416 0.748
Sm2 0.246 0.246 0.254
Sm3 0.416 0.078 0.748
Sm4 0.584 0.922 0.252
Sm5 0.754 0.754 0.746
Sm6 0.922 0.584 0.252
N1 0.000 0.000 0.500
N2 0.167 0.833 0.000
N3 0.332 0.668 0.500
N4 0.668 0.332 0.500
N5 0.833 0.167 0.000
O1 0.500 0.500 0.000

***

DFT (PBE) results for a relaxed structure of Sm3N2O.

Summary:
**Total energy**: -7.969 eV/atom
**Total moment**: 0.0 μB/f.u.
**Crystal system**: orthorhombic
**Formation energy from raw total energies**: -2.008 eV per atom
**Space-group type**: Immm (71)

Cell: 6.166 6.166 6.166 Å, 146.46 131.75 60.04°
Sites, in units of the cell vectors:
Sm1 0.000 0.000 0.000
Sm2 0.329 0.329 0.000
Sm3 0.671 0.671 0.000
N1 0.168 0.668 0.500
N2 0.832 0.332 0.500
O1 0.500 0.000 0.500

***

DFT (PBE) results for a relaxed structure of Sm4NO4.

Summary:
**Total energy**: -7.833 eV/atom
**Total moment**: 0.8 μB/f.u.
**Crystal system**: tetragonal
**Formation energy from raw total energies**: -2.607 eV per atom
**Space-group type**: I-42m (121)

Cell: 6.630 6.630 6.630 Å, 129.17 129.17 74.74°
Sites, in units of the cell vectors:
Sm1 0.158 0.158 0.560
Sm2 0.402 0.842 0.000
Sm3 0.598 0.598 0.440
Sm4 0.842 0.402 0.000
N1 0.500 0.500 0.000
O1 0.000 0.500 0.500
O2 0.227 0.227 0.000
O3 0.500 0.000 0.500
O4 0.773 0.773 0.000

***

DFT (PBE) results for a relaxed structure of SnN3O.

Summary:
**Total energy**: -4.527 eV/atom
**Total moment**: 0.0 μB/f.u.
**Crystal system**: cubic
**Formation energy from raw total energies**: 2.260 eV per atom
**Space-group type**: Pm-3m (221)

Cell: 3.603 3.603 3.603 Å, 90.00 90.00 90.00°
Sites, in units of the cell vectors:
Sn1 0.000 0.000 0.000
N1 0.000 0.500 0.500
N2 0.500 0.000 0.500
N3 0.500 0.500 0.000
O1 0.500 0.500 0.500